Record 1
CeHoMg2, relaxed, DFT PBE; polymorph energy (0 for the lowest one) = 0.063 eV per atom; final energy = -0.1237 hartree per atom; formation enthalpy at 0 K = 0.058 eV/atom; symmetry = R-3m (166)
1.0
3.2856 0.0000 0.0000
1.6428 2.8454 0.0000
1.6428 0.9485 11.4611
Mg Ho Ce
2 1 1
direct
0.2512 0.2512 0.2464
0.7488 0.7488 0.7536
0.0000 0.0000 0.0000
0.5000 0.5000 0.5000


Record 2
Pm2Al3Ir, relaxed, DFT PBE; polymorph energy (0 for the lowest one) = 0.000 eV per atom; final energy = -0.2065 hartree per atom; formation enthalpy at 0 K = -0.688 eV/atom; symmetry = P6_3/mmc (194)
1.0
-2.4029 -3.3850 3.8500
4.2785 -1.9143 -3.1757
5.7055 2.7840 6.0087
Pm Al Ir
4 6 2
direct
0.6667 0.3333 0.4513
0.3333 0.6667 0.5487
0.3333 0.6667 0.9513
0.6667 0.3333 0.0487
0.1600 0.3200 0.2500
0.3200 0.1600 0.7500
0.8400 0.6800 0.7500
0.1600 0.8400 0.2500
0.8400 0.1600 0.7500
0.6800 0.8400 0.2500
0.0000 0.0000 0.5000
0.0000 0.0000 0.0000